#1
This record from Alexandria describes a relaxed structure of NiTeIr2. The functional is PBE.

Cell: 4.6636 4.6636 4.6636 Å, 127.90 127.90 76.78°
Atoms (fractional coordinates):
1 Ir 0.0000 0.0000 0.0000
2 Ni 0.2500 0.7500 0.5000
3 Te 0.7500 0.2500 0.5000
4 Ir 0.5000 0.5000 0.0000

Output
M_tot	0.2	μB per formula unit
DOS(E_F)	1.40	states/eV per atom

=====

#2
This record from Alexandria describes a relaxed structure of NiTeIr2. The functional is PBE.

Cell: 5.3234 5.3234 5.3234 Å, 146.91 129.95 61.32°
Atoms (fractional coordinates):
1 Te 0.2609 0.7609 0.5000
2 Ni 0.4921 0.4921 0.0000
3 Ir 0.7315 0.2315 0.5000
4 Ir 0.0155 0.0155 0.0000

Output
M_tot	0.0	μB per formula unit
DOS(E_F)	1.19	states/eV per atom

=====

Relative energies with respect to the most stable structure, expressed in meV/atom: #1 0; #2 169.

=====

#1
This record from Alexandria describes a relaxed structure of NiTe6Ir. The functional is PBE.

Cell: 8.2739 8.2739 8.3424 Å, 109.14 109.50 109.44°
Atoms (fractional coordinates):
1 Te 0.6698 0.8282 0.1540
2 Te 0.4805 0.1513 0.3226
3 Te 0.8457 0.3122 0.1579
4 Te 0.8287 0.1579 0.6774
5 Ir 0.5000 0.5000 0.5000
6 Ir 0.0000 0.0000 0.5000
7 Te 0.5195 0.8487 0.6774
8 Te 0.1534 0.3373 0.4908
9 Ni 0.5000 0.0000 0.0000
10 Te 0.3302 0.1718 0.8460
11 Ni 0.0000 0.5000 0.0000
12 Te 0.6742 0.5158 0.8460
13 Te 0.1713 0.8421 0.3226
14 Te 0.3258 0.4842 0.1540
15 Te 0.8466 0.6627 0.5092
16 Te 0.1543 0.6878 0.8421

Output
M_tot	0.0	μB per formula unit
DOS(E_F)	0.56	states/eV per atom

=====

#2
This record from Alexandria describes a relaxed structure of NiTe6Ir. The functional is PBE.

Cell: 6.5394 6.5405 6.5742 Å, 60.11 60.15 60.00°
Atoms (fractional coordinates):
1 Te 0.5597 0.2485 0.2449
2 Ir 0.5000 0.5000 0.5000
3 Te 0.4403 0.7515 0.7551
4 Te 0.9475 0.5591 0.2450
5 Te 0.7507 0.0526 0.7561
6 Te 0.0525 0.4409 0.7550
7 Ni 0.0000 0.0000 0.0000
8 Te 0.2493 0.9474 0.2439

Output
M_tot	0.0	μB per formula unit
DOS(E_F)	0.60	states/eV per atom

=====

Relative energies with respect to the most stable structure, expressed in meV/atom: #1 74; #2 0.

=====

#1
This record from Alexandria describes a relaxed structure of ThNiIr2. The functional is PBE.

Cell: 4.9276 5.3790 12.1474 Å, 90.00 90.00 90.00°
Atoms (fractional coordinates):
1 Th 0.0000 0.2500 0.6058
2 Th 0.5000 0.7500 0.1038
3 Ir 0.7499 0.7500 0.8372
4 Th 0.0000 0.7500 0.3942
5 Ir 0.0000 0.0000 0.0000
6 Ir 0.2501 0.2500 0.1628
7 Th 0.5000 0.2500 0.8962
8 Ni 0.0000 0.7500 0.6498
9 Ir 0.7499 0.2500 0.1628
10 Ni 0.0000 0.2500 0.3502
11 Ir 0.2501 0.7500 0.8372
12 Ir 0.5000 0.0000 0.5000
13 Ni 0.5000 0.7500 0.6657
14 Ni 0.5000 0.2500 0.3343
15 Ir 0.5000 0.5000 0.5000
16 Ir 0.0000 0.5000 0.0000

Output
M_tot	0.0	μB per formula unit
DOS(E_F)	0.86	states/eV per atom

=====

#2
This record from Alexandria describes a relaxed structure of ThNiIr2. The functional is PBE.

Cell: 4.3496 4.3496 5.3435 Å, 65.98 65.98 60.00°
Atoms (fractional coordinates):
1 Ir 0.8002 0.8002 0.5995
2 Th 0.0000 0.0000 0.0000
3 Ni 0.5000 0.5000 0.5000
4 Ir 0.1998 0.1998 0.4005

Output
M_tot	0.0	μB per formula unit
DOS(E_F)	1.13	states/eV per atom

=====

#3
This record from Alexandria describes a relaxed structure of ThNiIr2. The functional is PBE.

Cell: 4.1091 4.1047 4.1047 Å, 90.00 90.00 90.00°
Atoms (fractional coordinates):
1 Ir 0.0000 0.5000 0.0000
2 Ir 0.0000 0.0000 0.5000
3 Ni 0.5000 0.5000 0.5000
4 Th 0.5000 0.0000 0.0000

Output
M_tot	0.0	μB per formula unit
DOS(E_F)	1.18	states/eV per atom

=====

#4
This record from Alexandria describes a relaxed structure of ThNiIr2. The functional is PBE.

Cell: 5.3878 5.3878 8.8980 Å, 72.38 72.38 60.00°
Atoms (fractional coordinates):
1 Ir 0.9203 0.4179 0.2438
2 Th 0.1388 0.1388 0.5836
3 Ir 0.5821 0.5821 0.7562
4 Ni 0.6665 0.6665 0.0004
5 Ni 0.5000 0.5000 0.5000
6 Ir 0.0797 0.5821 0.7562
7 Ir 0.4179 0.4179 0.2438
8 Ni 0.3335 0.3335 0.9996
9 Th 0.0000 0.0000 0.0000
10 Ir 0.4179 0.9203 0.2438
11 Ir 0.5821 0.0797 0.7562
12 Th 0.8612 0.8612 0.4164

Output
M_tot	0.0	μB per formula unit
DOS(E_F)	0.79	states/eV per atom

=====

Relative energies with respect to the most stable structure, expressed in meV/atom: #1 351; #2 213; #3 155; #4 0.

=====

#1
This record from Alexandria describes a relaxed structure of Th2Ni5Ir5. The functional is PBE.

Cell: 4.0696 5.2969 8.8874 Å, 90.00 90.00 90.00°
Atoms (fractional coordinates):
1 Ni 0.5000 0.0000 0.0000
2 Ir 0.5000 0.5000 0.5000
3 Ir 0.5000 0.2474 0.2451
4 Ir 0.5000 0.7526 0.2451
5 Th 0.0000 0.5000 0.0000
6 Ni 0.0000 0.0000 0.1575
7 Ir 0.5000 0.7526 0.7549
8 Th 0.0000 0.0000 0.5000
9 Ni 0.0000 0.0000 0.8425
10 Ni 0.0000 0.5000 0.3325
11 Ir 0.5000 0.2474 0.7549
12 Ni 0.0000 0.5000 0.6675

Output
M_tot	0.0	μB per formula unit
DOS(E_F)	0.81	states/eV per atom

=====

#2
This record from Alexandria describes a relaxed structure of Th2Ni5Ir5. The functional is PBE.

Cell: 4.2156 5.0557 9.0834 Å, 90.00 90.00 90.00°
Atoms (fractional coordinates):
1 Ir 0.5000 0.0000 0.0000
2 Ir 0.0000 0.0000 0.1860
3 Ni 0.5000 0.7444 0.7502
4 Ir 0.0000 0.0000 0.8140
5 Ni 0.5000 0.7444 0.2498
6 Ir 0.0000 0.5000 0.6635
7 Th 0.0000 0.5000 0.0000
8 Ni 0.5000 0.5000 0.5000
9 Th 0.0000 0.0000 0.5000
10 Ni 0.5000 0.2556 0.2498
11 Ir 0.0000 0.5000 0.3365
12 Ni 0.5000 0.2556 0.7502

Output
M_tot	0.0	μB per formula unit
DOS(E_F)	1.29	states/eV per atom

=====

Relative energies with respect to the most stable structure, expressed in meV/atom: #1 0; #2 141.

=====

#1
This record from Alexandria describes a relaxed structure of ThNi2Ir. The functional is PBE.

Cell: 3.9776 4.0568 4.0568 Å, 90.00 90.00 90.00°
Atoms (fractional coordinates):
1 Th 0.5000 0.5000 0.5000
2 Ni 0.0000 0.5000 0.0000
3 Ir 0.5000 0.0000 0.0000
4 Ni 0.0000 0.0000 0.5000

Output
M_tot	0.0	μB per formula unit
DOS(E_F)	1.22	states/eV per atom

=====

#2
This record from Alexandria describes a relaxed structure of ThNi2Ir. The functional is PBE.

Cell: 4.5372 4.4764 4.4764 Å, 56.87 90.00 90.00°
Atoms (fractional coordinates):
1 Ni 0.5000 0.6128 0.0178
2 Th 0.0000 0.8721 0.1279
3 Ni 0.5000 0.9822 0.3872
4 Ir 0.5000 0.3128 0.6872

Output
M_tot	0.0	μB per formula unit
DOS(E_F)	0.66	states/eV per atom

=====

Relative energies with respect to the most stable structure, expressed in meV/atom: #1 0; #2 113.

=====

#1
This record from Alexandria describes a relaxed structure of TiNi4Ir. The functional is PBE.

Cell: 4.6865 4.6865 4.6865 Å, 60.00 60.00 60.00°
Atoms (fractional coordinates):
1 Ni 0.6256 0.1232 0.6256
2 Ni 0.6256 0.6256 0.1232
3 Ni 0.6256 0.6256 0.6256
4 Ti 0.2500 0.2500 0.2500
5 Ir 0.0000 0.0000 0.0000
6 Ni 0.1232 0.6256 0.6256

Output
M_tot	0.9	μB per formula unit
DOS(E_F)	1.08	states/eV per atom

=====

#2
This record from Alexandria describes a relaxed structure of TiNi4Ir. The functional is PBE.

Cell: 4.4415 4.4659 4.4750 Å, 60.07 80.85 71.41°
Atoms (fractional coordinates):
1 Ni 0.0000 0.6718 0.6564
2 Ni 0.0000 0.3282 0.3436
3 Ni 0.5000 0.1670 0.6660
4 Ni 0.5000 0.8330 0.3340
5 Ti 0.5000 0.5000 0.0000
6 Ir 0.0000 0.0000 0.0000

Output
M_tot	0.0	μB per formula unit
DOS(E_F)	0.92	states/eV per atom

=====

Relative energies with respect to the most stable structure, expressed in meV/atom: #1 34; #2 0.